Crystalline SmHoGe2Pd5 at its relaxed geometry. Source: Alexandria, functional GGA-PBE.

Properties
Magnetization (μB per cell): 0.00
Calculated density (Mg/m³): 10.0
Calculated formation energy (eV per atom): -0.81

Unit cell a=4.251 b=4.251 c=9.123 alpha=90.00 beta=90.00 gamma=90.00
Fractional coordinates of all 9 atoms:
Sm1 0.000 0.000 0.000
Ho1 0.000 0.000 0.500
Ge1 0.500 0.500 0.366
Ge2 0.500 0.500 0.634
Pd1 0.000 0.500 0.228
Pd2 0.000 0.500 0.772
Pd3 0.500 0.000 0.228
Pd4 0.500 0.000 0.772
Pd5 0.500 0.500 0.000